(1)
A relaxed structure of Ac7Tb2Pm. Source: the Alexandria database, functional PBE.

abc: 6.1137 9.6641 9.6641
angles: 63.51 90.00 90.00
Fractional positions:
Ac  0.5000  0.5000  0.5000
Ac  0.0000  0.2427  0.2427
Ac  0.5000  0.9394  0.3098
Ac  0.0000  0.7573  0.7573
Ac  0.5000  0.3098  0.9394
Ac  0.5000  0.6902  0.0606
Ac  0.5000  0.0606  0.6902
Tb  0.5000  0.7009  0.7009
Tb  0.5000  0.2991  0.2991
Pm  0.0000  0.0000  0.0000

The magnetization comes out at 0.003 Bohr magnetons per cell. As for the final energy: -3.6589 eV/atom.


(2)
A relaxed structure of Zr4InAg. Source: the Alexandria database, functional PBE.

abc: 5.7618 5.7618 5.7618
angles: 60.00 60.00 60.00
Fractional positions:
Zr  0.3745  0.3745  0.8765
Zr  0.8765  0.3745  0.3745
Zr  0.3745  0.8765  0.3745
Zr  0.3745  0.3745  0.3745
Ag  0.7500  0.7500  0.7500
In  0.0000  0.0000  0.0000

The magnetization comes out at 0.000 Bohr magnetons per cell. For the energy above the most stable polymorph in this dataset, the calculation gives 390 meV per atom. As for the final energy: -6.3950 eV/atom.


(3)
A relaxed structure of AgP2Br. Source: the Alexandria database, functional PBE.

abc: 5.7334 5.7334 7.5088
angles: 67.56 67.56 90.00
Fractional positions:
Ag  0.7500  0.2500  0.5000
Ag  0.0000  0.0000  0.0000
P  0.6756  0.1250  0.2500
P  0.8750  0.9256  0.7500
P  0.3750  0.3244  0.7500
P  0.0744  0.6250  0.2500
Br  0.2500  0.7500  0.5000
Br  0.5000  0.5000  0.0000

For the formation energy (no corrections), the calculation gives 0.8064 eV per atom. The magnetization comes out at 0.000 Bohr magnetons per cell. For the energy above the most stable polymorph in this dataset, the calculation gives 784 meV per atom. As for the final energy: -3.0295 eV/atom.


(4)
A relaxed structure of Ge2AsOs. Source: the Alexandria database, functional PBE.

abc: 5.7458 5.7458 6.9157
angles: 65.45 65.45 90.00
Fractional positions:
Ge  0.3750  0.3522  0.7500
Ge  0.1022  0.6250  0.2500
Ge  0.6478  0.1250  0.2500
Ge  0.8750  0.8978  0.7500
As  0.2500  0.7500  0.5000
As  0.5000  0.5000  0.0000
Os  0.0000  0.0000  0.0000
Os  0.7500  0.2500  0.5000

The magnetization comes out at 0.000 Bohr magnetons per cell. As for the final energy: -5.8371 eV/atom.


(5)
A relaxed structure of Ac2SbPO8. Source: the Alexandria database, functional PBE.

abc: 5.5440 5.5440 6.2043
angles: 90.00 90.00 120.00
Fractional positions:
O  0.8545  0.1455  0.8356
O  0.7090  0.8545  0.1644
O  0.2910  0.1455  0.8356
O  0.8545  0.7090  0.8356
O  0.6667  0.3333  0.5011
O  0.1455  0.8545  0.1644
O  0.3333  0.6667  0.4989
O  0.1455  0.2910  0.1644
P  0.0000  0.0000  0.0000
Sb  0.0000  0.0000  0.5000
Ac  0.6667  0.3333  0.1518
Ac  0.3333  0.6667  0.8482

For the formation energy (no corrections), the calculation gives -1.8599 eV per atom. The magnetization comes out at 2.016 Bohr magnetons per cell. As for the final energy: -6.6445 eV/atom.


(6)
A relaxed structure of Rb3Nd2ScTe6. Source: the Alexandria database, functional PBE.

abc: 7.8880 7.8880 8.9469
angles: 98.48 98.48 120.02
Fractional positions:
Te  0.2479  0.2479  0.7996
Te  0.3815  0.0661  0.1988
Te  0.9339  0.6185  0.8012
Te  0.0661  0.3815  0.1988
Te  0.6185  0.9339  0.8012
Te  0.7521  0.7521  0.2004
Rb  0.8284  0.1716  0.5000
Rb  0.5000  0.5000  0.5000
Rb  0.1716  0.8284  0.5000
Nd  0.6660  0.3340  0.0000
Nd  0.3340  0.6660  0.0000
Sc  0.0000  0.0000  0.0000

For the formation energy (no corrections), the calculation gives -1.3407 eV per atom. The magnetization comes out at 0.000 Bohr magnetons per cell. As for the final energy: -4.4757 eV/atom.


(7)
A relaxed structure of YInCl2. Source: the Alexandria database, functional PBE.

abc: 3.6905 3.6905 10.2443
angles: 90.00 90.00 121.97
Fractional positions:
Cl  0.0000  0.0000  0.5526
Cl  0.0000  0.0000  0.9474
Y  0.5000  0.5000  0.7500
In  0.5000  0.5000  0.2500

For the formation energy (no corrections), the calculation gives -1.1601 eV per atom. The magnetization comes out at 0.000 Bohr magnetons per cell. For the energy above the most stable polymorph in this dataset, the calculation gives 131 meV per atom. As for the final energy: -4.3840 eV/atom.


(8)
A relaxed structure of ScNi. Source: the Alexandria database, functional PBE.

abc: 3.6852 3.6852 3.6852
angles: 60.00 60.00 60.00
Fractional positions:
Ni  0.0000  0.0000  0.0000
Sc  0.5000  0.5000  0.5000

The magnetization comes out at 0.000 Bohr magnetons per cell. As for the final energy: -6.2325 eV/atom.


(9)
A relaxed structure of SmEr7In2. Source: the Alexandria database, functional PBE.

abc: 5.4606 8.8404 8.8404
angles: 118.27 90.00 90.00
Fractional positions:
In  0.5000  0.3031  0.6969
In  0.5000  0.6969  0.3031
Er  0.5000  0.0583  0.3031
Er  0.5000  0.5000  0.5000
Er  0.5000  0.9417  0.6969
Er  0.5000  0.3031  0.0583
Er  0.0000  0.2317  0.7683
Er  0.0000  0.7683  0.2317
Er  0.5000  0.6969  0.9417
Sm  0.0000  0.0000  0.0000

The magnetization comes out at 1.211 Bohr magnetons per cell. As for the final energy: -3.8601 eV/atom.


(10)
A relaxed structure of KHgPt2Br. Source: the Alexandria database, functional PBE.

abc: 5.3364 5.8360 5.3364
angles: 90.00 90.00 90.00
Fractional positions:
Br  0.5000  0.5000  0.5000
Pt  0.0000  0.0000  0.5000
Pt  0.5000  0.0000  0.0000
K  0.0000  0.0000  0.0000
Hg  0.0000  0.5000  0.0000

For the formation energy (no corrections), the calculation gives 1.5106 eV per atom. The magnetization comes out at 0.000 Bohr magnetons per cell. As for the final energy: -1.5201 eV/atom.


(11)
A relaxed structure of BaYTi2N. Source: the Alexandria database, functional PBE.

abc: 4.3540 5.2633 4.3540
angles: 90.00 90.00 90.00
Fractional positions:
Ba  0.5000  0.5000  0.5000
Y  0.0000  0.5000  0.0000
N  0.0000  0.0000  0.0000
Ti  0.0000  0.0000  0.5000
Ti  0.5000  0.0000  0.0000

For the formation energy (no corrections), the calculation gives -0.0093 eV per atom. The magnetization comes out at 0.000 Bohr magnetons per cell. As for the final energy: -6.5097 eV/atom.


(12)
A relaxed structure of ReSbTe2Se. Source: the Alexandria database, functional PBE.

abc: 5.1421 5.1421 5.3108
angles: 90.00 90.00 90.00
Fractional positions:
Te  0.0000  0.5000  0.0000
Te  0.5000  0.0000  0.0000
Se  0.5000  0.5000  0.5000
Re  0.0000  0.0000  0.0000
Sb  0.0000  0.0000  0.5000

For the formation energy (no corrections), the calculation gives 0.6710 eV per atom. The magnetization comes out at 0.000 Bohr magnetons per cell. For the energy above the most stable polymorph in this dataset, the calculation gives 0 meV per atom. As for the final energy: -4.5967 eV/atom.


(13)
A relaxed structure of LiTh2Cd6. Source: the Alexandria database, functional PBE.

abc: 3.3364 8.8037 8.8037
angles: 60.00 89.96 89.96
Fractional positions:
Th  0.0000  0.6667  0.6667
Th  0.0000  0.3333  0.3333
Cd  0.5000  0.3261  0.6739
Cd  0.4990  0.6739  0.0000
Cd  0.5000  0.6739  0.3261
Cd  0.5010  0.0000  0.3261
Cd  0.4990  0.0000  0.6739
Cd  0.5010  0.3261  0.0000
Li  0.0000  0.0000  0.0000

The magnetization comes out at 0.000 Bohr magnetons per cell. As for the final energy: -2.6348 eV/atom.


(14)
A relaxed structure of Sm2HfSi3Pt4. Source: the Alexandria database, functional PBE.

abc: 4.2189 4.2189 10.6036
angles: 90.00 90.00 90.00
Fractional positions:
Sm  0.5000  0.0000  0.2327
Sm  0.0000  0.5000  0.7673
Si  0.0000  0.0000  0.5000
Si  0.0000  0.5000  0.1274
Si  0.5000  0.0000  0.8726
Pt  0.0000  0.5000  0.3528
Pt  0.5000  0.0000  0.6472
Pt  0.5000  0.5000  0.0000
Pt  0.0000  0.0000  0.0000
Hf  0.5000  0.5000  0.5000

For the formation energy (no corrections), the calculation gives -1.0751 eV per atom. The magnetization comes out at 0.000 Bohr magnetons per cell. As for the final energy: -7.0575 eV/atom.


(15)
A relaxed structure of SrLa2Ga2. Source: the Alexandria database, functional PBE.

abc: 5.3756 5.3756 7.0219
angles: 67.49 67.49 90.00
Fractional positions:
La  0.3556  0.3556  0.2889
La  0.6444  0.6444  0.7111
Ga  0.7500  0.2500  0.5000
Ga  0.2500  0.7500  0.5000
Sr  0.0000  0.0000  0.0000

The magnetization comes out at 0.002 Bohr magnetons per cell. For the energy above the most stable polymorph in this dataset, the calculation gives 212 meV per atom. As for the final energy: -3.6935 eV/atom.


(16)
A relaxed structure of Sm6Tm2Th. Source: the Alexandria database, functional PBE.

abc: 3.5954 3.5954 26.7128
angles: 90.00 90.00 120.00
Fractional positions:
Sm  0.3333  0.6667  0.7778
Sm  0.3333  0.6667  0.4333
Sm  0.6667  0.3333  0.8901
Sm  0.3333  0.6667  0.2222
Sm  0.3333  0.6667  0.5667
Sm  0.6667  0.3333  0.1099
Tm  0.6667  0.3333  0.3294
Tm  0.6667  0.3333  0.6706
Th  0.3333  0.6667  0.0000

The magnetization comes out at 0.000 Bohr magnetons per cell. As for the final energy: -4.9066 eV/atom.